This record from Alexandria via LeMat-Bulk describes PmGd2Sc after structural relaxation. The functional is PBE-GGA.

Summary:
Electronic total energy in eV per atom: -9.64
Density in g/cm3: 6.71
Crystal system: trigonal
Calculated formation energy in meV/atom: 169
Energy above the lowest structure with this stoichiometry in meV per atom: 125.9

abc: 3.4472 3.4472 36.3909
angles: 90.00 90.00 120.00
Space group R-3m (No. 166, hexagonal axes)
Unique sites:
Pm (0.0000, 0.0000, 0.0000) x3
Gd (0.0000, 0.0000, 0.0922) x6
Sc (0.0000, 0.0000, 0.5000) x3

This record from Alexandria via LeMat-Bulk describes Na3La2ZrTe6 after structural relaxation. The functional is PBE-GGA.

Summary:
Raw formation energy in eV per atom: -1.2052
Electronic total energy in eV per atom: -4.64
Density in g/cm3: 5.06
Crystal system: monoclinic

abc: 7.7512 13.4301 8.0268
angles: 90.00 108.97 90.00
Space group C2/m (No. 12)
Unique sites:
Na (0.0000, 0.0000, 0.0000) x2
Na (0.0000, 0.3276, 0.0000) x4
La (0.0000, 0.1661, 0.5000) x4
Zr (0.0000, 0.5000, 0.5000) x2
Te (0.2306, 0.5000, 0.2640) x4
Te (0.2346, 0.3444, 0.7367) x8

This record from Alexandria via LeMat-Bulk describes CsLi2PaSe4 after structural relaxation. The functional is PBE-GGA.

Summary:
Raw formation energy in eV per atom: -1.1314
Electronic total energy in eV per atom: -4.65
Density in g/cm3: 4.47
Crystal system: tetragonal

abc: 7.3739 7.3739 9.4886
angles: 90.00 90.00 90.00
Space group I-42m (No. 121)
Unique sites:
Cs (0.0000, 0.0000, 0.0000) x2
Li (0.0000, 0.5000, 0.2500) x4
Pa (0.0000, 0.0000, 0.5000) x2
Se (0.2014, 0.2014, 0.3271) x8

This record from Alexandria via LeMat-Bulk describes TaAlTe2 after structural relaxation. The functional is PBE-GGA.

Summary:
Raw formation energy in eV per atom: 0.5010
Electronic total energy in eV per atom: -4.97
Density in g/cm3: 8.61
Crystal system: orthorhombic

abc: 3.5683 4.5079 5.5558
angles: 90.00 90.00 90.00
Space group Pmmm (No. 47)
Unique sites:
Ta (0.0000, 0.0000, 0.0000) x1
Al (0.5000, 0.0000, 0.5000) x1
Te (0.0000, 0.5000, 0.5000) x1
Te (0.5000, 0.5000, 0.0000) x1

This record from Alexandria via LeMat-Bulk describes Sc8IrRh2 after structural relaxation. The functional is PBE-GGA.

Summary:
Electronic total energy in eV per atom: -7.25
Density in g/cm3: 5.45
Crystal system: monoclinic
Calculated formation energy in meV/atom: -504

abc: 7.6868 12.4288 5.1342
angles: 90.00 109.72 90.00
Space group Cm (No. 8)
Unique sites:
Sc (0.0000, 0.0000, 0.0000) x2
Sc (0.0715, 0.3773, 0.7829) x4
Sc (0.1566, 0.1226, 0.5863) x4
Sc (0.2276, 0.5000, 0.3687) x2
Sc (0.3641, 0.2128, 0.1845) x4
Ir (0.3638, 0.0000, 0.1824) x2
Rh (0.3639, 0.3045, 0.6842) x4

This record from Alexandria via LeMat-Bulk describes YTl2AsS4 after structural relaxation. The functional is PBE-GGA.

Summary:
Raw formation energy in eV per atom: -0.7650
Electronic total energy in eV per atom: -4.81
Density in g/cm3: 5.85
Crystal system: orthorhombic

abc: 8.2423 8.2584 11.6846
angles: 90.00 90.00 90.00
Space group Imma (No. 74)
Unique sites:
Y (0.0000, 0.0000, 0.0000) x4
Tl (0.0000, 0.0000, 0.5000) x4
Tl (0.2500, 0.2500, 0.2500) x4
As (0.2500, 0.2500, 0.7500) x4
S (0.0000, 0.0398, 0.7634) x8
S (0.2209, 0.2500, 0.9776) x8

This record from Alexandria via LeMat-Bulk describes Ta3PS after structural relaxation. The functional is PBE-GGA.

Summary:
Raw formation energy in eV per atom: 0.6009
Electronic total energy in eV per atom: -8.42
Density in g/cm3: 10.85
Crystal system: cubic
Energy above the lowest structure with this stoichiometry in meV per atom: 0.0

abc: 4.5260 4.5260 4.5260
angles: 90.00 90.00 90.00
Space group Pm-3m (No. 221)
Unique sites:
Ta (0.0000, 0.0000, 0.5000) x3
P (0.5000, 0.5000, 0.5000) x1
S (0.0000, 0.0000, 0.0000) x1